(1)
A plane-wave DFT calculation with PBE was carried out for crystalline BeCoSi2 at its relaxed geometry.

abc: 5.6209 5.6209 5.6209
angles: 90.00 90.00 90.00
Space group F-43m (No. 216)
One atom of each set of equivalent atoms:
Be  0.0000  0.0000  0.0000 x4
Co  0.2500  0.2500  0.2500 x4
Si  0.0000  0.0000  0.5000 x4
Si  0.2500  0.2500  0.7500 x4

E (Ry/atom): -0.3850
ρ (kg/m3): 4642
Crystal system: cubic

***

(2)
A plane-wave DFT calculation with PBE was carried out for crystalline BeCoSi at its relaxed geometry.

abc: 5.2118 5.2118 5.2118
angles: 90.00 90.00 90.00
Space group F-43m (No. 216)
One atom of each set of equivalent atoms:
Be  0.0000  0.0000  0.0000 x4
Co  0.2500  0.2500  0.7500 x4
Si  0.0000  0.0000  0.5000 x4

Relative energy among the computed polymorphs (eV per atom): 0.2350
ρ (kg/m3): 4506
Crystal system: cubic

***

(3)
A plane-wave DFT calculation with PBE was carried out for crystalline BeCoSi at its relaxed geometry.

abc: 3.5681 3.5681 5.2488
angles: 90.00 90.15 90.00
Space group P2_1/m (No. 11)
One atom of each set of equivalent atoms:
Be  0.2489  0.2500  0.2275 x2
Co  0.2499  0.7500  0.5000 x2
Si  0.2513  0.2500  0.7837 x2

Relative energy among the computed polymorphs (eV per atom): 0.1238
ρ (kg/m3): 4773
Crystal system: monoclinic

***

(4)
A plane-wave DFT calculation with PBE was carried out for crystalline BeCoSi at its relaxed geometry.

abc: 2.5735 2.5735 5.5390
angles: 90.00 90.00 120.00
Space group P3m1 (No. 156)
One atom of each set of equivalent atoms:
Be  0.0000  0.0000  0.0000 x1
Co  0.3333  0.6667  0.3125 x1
Si  0.6667  0.3333  0.6383 x1

Relative energy among the computed polymorphs (eV per atom): 0.3671
ρ (kg/m3): 5019
Crystal system: trigonal